VASP calculation (GGA-PBE) on a relaxed Gd2HoS crystal.

a = 10.3692 Å, b = 10.3692 Å, c = 10.3692 Å
α = 20.41°, β = 20.41°, γ = 20.41°
Last column: nearest neighbours and their distance in Å.
Fractional coordinates of all 4 atoms:
Gd: 0.1117 0.1117 0.1117  3 S 2.70
Gd: 0.8883 0.8883 0.8883  3 S 2.70
Ho: 0.0000 0.0000 0.0000  2 Gd 3.40, 6 Ho 3.67
S: 0.5000 0.5000 0.5000  6 Gd 2.70

Computed properties:
- space-group type = R-3m (166)
- ρ (g/cm3) = 7.16
- calculated volume (Å³/cell) = 118.7
- total energy (eV per atom) = -9.947
- uncorrected formation energy (eV per formula unit) = -2.922


VASP calculation (GGA-PBE) on a relaxed Mg2ZnSi crystal.

a = 5.6545 Å, b = 5.6545 Å, c = 5.6545 Å
α = 146.11°, β = 132.48°, γ = 59.64°
Last column: nearest neighbours and their distance in Å.
Fractional coordinates of all 4 atoms:
Mg: 0.0000 0.0000 0.0000  4 Zn 2.84, 2 Si 2.96, 2 Mg 3.14
Mg: 0.7196 0.2196 0.5000  4 Si 2.83, 2 Zn 3.04, 2 Mg 3.14
Zn: 0.4597 0.4597 0.0000  2 Si 2.63, 4 Mg 2.84
Si: 0.2502 0.7502 0.5000  2 Zn 2.63, 4 Mg 2.83

Computed properties:
- space-group type = Imm2 (44)
- ρ (g/cm3) = 3.20
- calculated volume (Å³/cell) = 73.7
- total energy (eV per atom) = -2.407
- uncorrected formation energy (eV per formula unit) = 0.260